First-principles (PBE) data for AlZn2InRu after structural relaxation, as listed in Alexandria via LeMat-Bulk.

Crystal system: tetragonal
Energy relative to the elements (eV/atom): 1.16

The structure in POSCAR format:
```
AlZn2InRu
1.0
4.8539 0.0000 0.0000
0.0000 5.1802 0.0000
0.0000 0.0000 4.8539
Zn Ru In Al
2 1 1 1
direct
0.0000 0.0000 0.5000 Zn
0.5000 0.0000 0.0000 Zn
0.0000 0.5000 0.0000 Ru
0.0000 0.0000 0.0000 In
0.5000 0.5000 0.5000 Al
```

First-principles (PBE) data for Zr2AlInRu after structural relaxation, as listed in Alexandria via LeMat-Bulk.

Crystal system: tetragonal
Energy relative to the elements (eV/atom): 0.06

The structure in POSCAR format:
```
Zr2AlInRu
1.0
-1.2918 2.7344 3.9800
2.2077 -3.0746 2.8289
4.2265 2.6328 -0.4370
In Zr Ru Al
1 2 1 1
direct
0.5000 0.5000 0.5000 In
0.0000 0.0000 0.5000 Zr
0.5000 0.0000 0.0000 Zr
0.0000 0.0000 0.0000 Ru
0.0000 0.5000 0.0000 Al
```

First-principles (PBE) data for AlIn2S6 after structural relaxation, as listed in Alexandria via LeMat-Bulk.

Crystal system: tetragonal
Formation energy without anion corrections (kcal/mol of atoms): -4.7

The structure in POSCAR format:
```
AlIn2S6
1.0
5.9639 0.0000 0.0000
0.0000 5.9639 0.0000
0.0000 0.0000 11.4710
In S Al
4 12 2
direct
0.5000 0.5000 0.1674 In
0.5000 0.5000 0.8326 In
0.0000 0.0000 0.3326 In
0.0000 0.0000 0.6674 In
0.8129 0.1871 0.1538 S
0.6871 0.6871 0.3462 S
0.1871 0.8129 0.8462 S
0.1871 0.8129 0.1538 S
0.7888 0.2112 0.5000 S
0.6871 0.6871 0.6538 S
0.3129 0.3129 0.6538 S
0.3129 0.3129 0.3462 S
0.8129 0.1871 0.8462 S
0.7112 0.7112 0.0000 S
0.2112 0.7888 0.5000 S
0.2888 0.2888 0.0000 S
0.5000 0.5000 0.5000 Al
0.0000 0.0000 0.0000 Al
```

First-principles (PBE) data for AlIn4S6 after structural relaxation, as listed in Alexandria via LeMat-Bulk.

Crystal system: monoclinic
Formation energy without anion corrections (kcal/mol of atoms): -13.6

The structure in POSCAR format:
```
AlIn4S6
1.0
7.2811 0.0000 2.1985
3.2698 6.2454 2.3269
0.0257 0.4020 13.0709
Al S In
2 12 8
direct
0.6181 0.7945 0.3981 Al
0.1893 0.2945 0.8981 Al
0.4227 0.1017 0.4582 S
0.4867 0.5275 0.1066 S
0.0174 0.6017 0.9582 S
0.4382 0.6016 0.4460 S
0.0441 0.0679 0.9755 S
0.9755 0.1387 0.2799 S
0.5142 0.1016 0.9460 S
0.6060 0.6387 0.7799 S
0.8792 0.0275 0.6066 S
0.9125 0.5679 0.4755 S
0.2412 0.3762 0.7120 S
0.6706 0.8762 0.2120 S
0.6480 0.7140 0.9472 In
0.6909 0.2140 0.4472 In
0.7824 0.1653 0.1414 In
0.8160 0.1852 0.8104 In
0.1884 0.6852 0.3104 In
0.2545 0.0137 0.6789 In
0.0529 0.5137 0.1789 In
0.9110 0.6653 0.6414 In
```

First-principles (PBE) data for AlInS3 after structural relaxation, as listed in Alexandria via LeMat-Bulk.

Crystal system: cubic
Formation energy without anion corrections (kcal/mol of atoms): -4.6

The structure in POSCAR format:
```
AlInS3
1.0
-3.6948 2.6152 -1.1756
-2.6297 -2.3265 3.0895
1.1427 3.1018 3.3084
Al S In
1 3 1
direct
0.0000 0.0000 0.0000 Al
0.5000 0.0000 0.0000 S
0.0000 0.0000 0.5000 S
0.0000 0.5000 0.0000 S
0.5000 0.5000 0.5000 In
```

First-principles (PBE) data for Al3InS after structural relaxation, as listed in Alexandria via LeMat-Bulk.

Crystal system: cubic
Energy above the lowest structure with this stoichiometry (meV/atom): 0.0
Formation energy without anion corrections (kcal/mol of atoms): 7.2

The structure in POSCAR format:
```
Al3InS
1.0
-3.5673 1.4947 -2.7695
-3.1426 -1.9154 3.0141
-0.1681 4.0899 2.4237
Al In S
3 1 1
direct
0.0000 0.0000 0.5000 Al
0.5000 0.0000 0.0000 Al
0.0000 0.5000 0.0000 Al
0.5000 0.5000 0.5000 In
0.0000 0.0000 0.0000 S
```